(A)
Computed, not measured: crystalline NiIr2Pd at its relaxed geometry at the PBE-GGA level of DFT.

abc: 4.2968 4.2968 4.2968
angles: 60.00 60.00 60.00
Sites, in units of the cell vectors:
Ni1 0.0000 0.0000 0.0000
Ir1 0.2500 0.2500 0.2500
Ir2 0.7500 0.7500 0.7500
Pd1 0.5000 0.5000 0.5000

Magnetization in μB per formula unit: 0.0
Calculated volume in Å³ per cell: 56.10
Density of states at the Fermi level in states/eV per cell: 4.94

***

(B)
Computed, not measured: crystalline NiIr2Pd at its relaxed geometry at the PBE-GGA level of DFT.

abc: 5.5446 5.5446 5.5446
angles: 101.69 101.69 126.50
Sites, in units of the cell vectors:
Ni1 0.0000 0.0000 0.0000
Ni2 0.7500 0.2500 0.5000
Ir1 0.0813 0.6250 0.9563
Ir2 0.3750 0.3313 0.4563
Ir3 0.6687 0.1250 0.0437
Ir4 0.8750 0.9187 0.5437
Pd1 0.2500 0.7500 0.5000
Pd2 0.5000 0.5000 0.0000

Magnetization in μB per formula unit: 0.0
Calculated volume in Å³ per cell: 122.36
Density of states at the Fermi level in states/eV per cell: 12.44

***

(A) takes first place; second place is 0.244 eV/atom up.

***

(A)
Computed, not measured: crystalline NiIr2Pd at its relaxed geometry at the PBE-GGA level of DFT.

abc: 8.7987 8.7987 8.7987
angles: 17.81 17.81 17.81
Sites, in units of the cell vectors:
Ni1 0.0000 0.0000 0.0000
Ir1 0.2552 0.2552 0.2552
Ir2 0.7448 0.7448 0.7448
Pd1 0.5000 0.5000 0.5000

Magnetization in μB per formula unit: 0.0
Calculated volume in Å³ per cell: 55.64
Density of states at the Fermi level in states/eV per cell: 5.94

***

(B)
Computed, not measured: crystalline NiIr2Pd at its relaxed geometry at the PBE-GGA level of DFT.

abc: 3.8182 3.8182 3.8121
angles: 90.00 90.00 90.00
Sites, in units of the cell vectors:
Ni1 0.0000 0.0000 0.0000
Ir1 0.0000 0.5000 0.5000
Ir2 0.5000 0.0000 0.5000
Pd1 0.5000 0.5000 0.0000

Magnetization in μB per formula unit: 0.0
Calculated volume in Å³ per cell: 55.57
Density of states at the Fermi level in states/eV per cell: 5.26

***

(A) takes first place; second place is 0.073 eV/atom up.

***

(A)
Computed, not measured: crystalline NiIrPd2 at its relaxed geometry at the PBE-GGA level of DFT.

abc: 4.3373 4.3373 4.3373
angles: 60.00 60.00 60.00
Sites, in units of the cell vectors:
Ni1 0.0000 0.0000 0.0000
Ir1 0.5000 0.5000 0.5000
Pd1 0.2500 0.2500 0.2500
Pd2 0.7500 0.7500 0.7500

Magnetization in μB per formula unit: 1.4
Calculated volume in Å³ per cell: 57.69
Density of states at the Fermi level in states/eV per cell: 5.13

***

(B)
Computed, not measured: crystalline NiIrPd2 at its relaxed geometry at the PBE-GGA level of DFT.

abc: 5.5119 5.5119 5.5119
angles: 103.00 103.00 123.37
Sites, in units of the cell vectors:
Ni1 0.0000 0.0000 0.0000
Ni2 0.7500 0.2500 0.5000
Ir1 0.2500 0.7500 0.5000
Ir2 0.5000 0.5000 0.0000
Pd1 0.1108 0.1250 0.4858
Pd2 0.3750 0.8892 0.0142
Pd3 0.6392 0.6250 0.5142
Pd4 0.8750 0.3608 0.9858

Magnetization in μB per formula unit: 0.4
Calculated volume in Å³ per cell: 123.11
Density of states at the Fermi level in states/eV per cell: 14.11

***

(A) takes first place; second place is 0.280 eV/atom up.

***

(A)
Computed, not measured: crystalline NiIrPd2 at its relaxed geometry at the PBE-GGA level of DFT.

abc: 8.8901 8.8901 8.8901
angles: 17.73 17.73 17.73
Sites, in units of the cell vectors:
Ni1 0.0000 0.0000 0.0000
Ir1 0.1676 0.1676 0.1676
Pd1 0.4139 0.4139 0.4139
Pd2 0.5871 0.5871 0.5871

Magnetization in μB per formula unit: 1.1
Calculated volume in Å³ per cell: 56.86
Density of states at the Fermi level in states/eV per cell: 7.04

***

(B)
Computed, not measured: crystalline NiIrPd2 at its relaxed geometry at the PBE-GGA level of DFT.

abc: 3.8143 3.8143 3.8754
angles: 90.00 90.00 90.00
Sites, in units of the cell vectors:
Ni1 0.0000 0.0000 0.0000
Ir1 0.5000 0.5000 0.0000
Pd1 0.0000 0.5000 0.5000
Pd2 0.5000 0.0000 0.5000

Magnetization in μB per formula unit: 0.0
Calculated volume in Å³ per cell: 56.38
Density of states at the Fermi level in states/eV per cell: 6.04

***

(A) takes first place; second place is 0.013 eV/atom up.

***

(A)
Computed, not measured: crystalline NiIr2Pd2 at its relaxed geometry at the PBE-GGA level of DFT.

abc: 6.7819 6.7819 6.7819
angles: 149.41 149.41 43.81
Sites, in units of the cell vectors:
Ni1 0.0000 0.0000 0.0000
Ir1 0.4065 0.4065 0.0000
Ir2 0.5935 0.5935 0.0000
Pd1 0.2500 0.7500 0.5000
Pd2 0.7500 0.2500 0.5000

Magnetization in μB per formula unit: 0.0
Calculated volume in Å³ per cell: 80.57
Density of states at the Fermi level in states/eV per cell: 5.22

***

(B)
Computed, not measured: crystalline NiIr2Pd2 at its relaxed geometry at the PBE-GGA level of DFT.

abc: 6.2316 6.2316 4.0123
angles: 90.00 90.00 90.00
Sites, in units of the cell vectors:
Ni1 0.0000 0.0000 0.0000
Ni2 0.5000 0.5000 0.0000
Ir1 0.1381 0.3619 0.0000
Ir2 0.3619 0.8619 0.0000
Ir3 0.6381 0.1381 0.0000
Ir4 0.8619 0.6381 0.0000
Pd1 0.1628 0.6628 0.5000
Pd2 0.3372 0.1628 0.5000
Pd3 0.6628 0.8372 0.5000
Pd4 0.8372 0.3372 0.5000

Magnetization in μB per formula unit: 0.0
Calculated volume in Å³ per cell: 155.81
Density of states at the Fermi level in states/eV per cell: 19.74

***

(B) takes first place; second place is 0.234 eV/atom up.

***

(A)
Computed, not measured: crystalline Ni2IrPd2 at its relaxed geometry at the PBE-GGA level of DFT.

abc: 6.2721 6.2721 3.5836
angles: 90.00 90.00 90.00
Sites, in units of the cell vectors:
Ni1 0.1305 0.3695 0.0000
Ni2 0.3695 0.8695 0.0000
Ni3 0.6305 0.1305 0.0000
Ni4 0.8695 0.6305 0.0000
Ir1 0.0000 0.0000 0.0000
Ir2 0.5000 0.5000 0.0000
Pd1 0.1696 0.6696 0.5000
Pd2 0.3304 0.1696 0.5000
Pd3 0.6696 0.8304 0.5000
Pd4 0.8304 0.3304 0.5000

Magnetization in μB per formula unit: 2.7
Calculated volume in Å³ per cell: 140.97
Density of states at the Fermi level in states/eV per cell: 15.89

***

(B)
Computed, not measured: crystalline Ni2IrPd2 at its relaxed geometry at the PBE-GGA level of DFT.

abc: 7.1761 7.1761 2.7313
angles: 90.00 90.00 90.00
Sites, in units of the cell vectors:
Ni1 0.1668 0.3332 0.0000
Ni2 0.3332 0.8332 0.0000
Ni3 0.6668 0.1668 0.0000
Ni4 0.8332 0.6668 0.0000
Ir1 0.0000 0.0000 0.5000
Ir2 0.5000 0.5000 0.5000
Pd1 0.1328 0.6328 0.5000
Pd2 0.3672 0.1328 0.5000
Pd3 0.6328 0.8672 0.5000
Pd4 0.8672 0.3672 0.5000

Magnetization in μB per formula unit: 3.0
Calculated volume in Å³ per cell: 140.65
Density of states at the Fermi level in states/eV per cell: 15.36

***

(A) takes first place; second place is 0.074 eV/atom up.

***

(A)
Computed, not measured: crystalline Ni3IrPd at its relaxed geometry at the PBE-GGA level of DFT.

abc: 5.8179 5.8179 7.5718
angles: 125.91 125.91 42.14
Sites, in units of the cell vectors:
Ni1 0.0657 0.0657 0.2004
Ni2 0.0951 0.0951 0.6854
Ni3 0.3686 0.3686 0.8944
Ni4 0.6314 0.6314 0.1056
Ni5 0.9049 0.9049 0.3146
Ni6 0.9343 0.9343 0.7996
Ir1 0.2550 0.2550 0.1098
Ir2 0.7450 0.7450 0.8902
Pd1 0.3904 0.3904 0.5536
Pd2 0.6096 0.6096 0.4464

Magnetization in μB per formula unit: 1.0
Calculated volume in Å³ per cell: 133.75
Density of states at the Fermi level in states/eV per cell: 16.80

***

(B)
Computed, not measured: crystalline Ni3IrPd at its relaxed geometry at the PBE-GGA level of DFT.

abc: 4.4797 4.4797 4.4797
angles: 90.00 90.00 90.00
Sites, in units of the cell vectors:
Ni1 0.0000 0.0000 0.5000
Ni2 0.0000 0.5000 0.0000
Ni3 0.5000 0.0000 0.0000
Ir1 0.0000 0.0000 0.0000
Pd1 0.5000 0.5000 0.5000

Magnetization in μB per formula unit: 2.2
Calculated volume in Å³ per cell: 89.90
Density of states at the Fermi level in states/eV per cell: 9.08

***

(A) takes first place; second place is 1.029 eV/atom up.